{"formula": "Rb2ZrBF6", "functional": "PBE", "state": "optimized geometry", "lattice_angstrom": [[-3.164, 3.164, 5.319], [3.164, -3.164, 5.319], [3.164, 3.164, -5.319]], "species": ["Rb", "Rb", "Zr", "B", "F", "F", "F", "F", "F", "F"], "fractional_positions": [[0.250, 0.750, 0.500], [0.750, 0.250, 0.500], [0.000, 0.000, 0.000], [0.500, 0.500, 0.000], [0.192, 0.192, 0.000], [0.227, 0.227, 0.455], [0.227, 0.773, 0.000], [0.773, 0.227, 0.000], [0.773, 0.773, 0.545], [0.808, 0.808, 0.000]], "n_ef_per_ev_cell": 0.00, "formation_energy_uncorrected_mev_per_atom": -2393, "magnetic_moment_mub_per_cell": 1.0}